{"formula": "ZnTeOs3", "functional": "SCAN", "state": "PBEsol geometry", "spacegroup": "No. 221", "crystal_system": "cubic", "formation_energy_uncorrected_mev_per_atom": 2132, "lattice": [[4.486, 0.000, 0.000], [0.000, 4.486, 0.000], [0.000, 0.000, 4.486]], "species": ["Zn", "Te", "Os", "Os", "Os"], "fractional_positions": [[0.000, 0.000, 0.000], [0.500, 0.500, 0.500], [0.000, 0.000, 0.500], [0.000, 0.500, 0.000], [0.500, 0.000, 0.000]]}